# 1
## DyFeSn (GGA-PBE)

Data for an optimized crystal structure of DyFeSn.

Lattice parameters (Å, degrees): 3.8747 3.8747 10.8939 79.76 79.76 60.00
Closest atoms and distances in Å follow each position.
Fractional coordinates of all 6 atoms:
Fe1 0.1655 0.1655 0.5034  3 Fe 2.24
Fe2 0.8345 0.8345 0.4966  3 Fe 2.24
Sn1 0.3029 0.3029 0.0913  3 Sn 2.97, 3 Dy 3.32
Sn2 0.6971 0.6971 0.9087  3 Sn 2.97, 3 Dy 3.32
Dy1 0.5596 0.5596 0.3212  6 Fe 2.92-2.96
Dy2 0.4404 0.4404 0.6788  6 Fe 2.92-2.96

Values from the calculation:
M_tot in μB per formula unit: 0.885
Calculated volume in Å³ per cell: 139
Formation energy from the elements in kJ per mole of atoms: -18.3

# 2
## Dy8FeSn2 (GGA-PBE)

Data for an optimized crystal structure of Dy8FeSn2.

Lattice parameters (Å, degrees): 5.3087 6.7523 9.5161 113.11 106.20 90.00
Closest atoms and distances in Å follow each position.
Fractional coordinates of all 11 atoms:
Sn1 0.1724 0.7111 0.3449  9 Dy 3.19-3.45
Sn2 0.8276 0.2889 0.6551  9 Dy 3.19-3.45
Dy1 0.2064 0.2845 0.4128  3 Sn 3.19-3.45, 3 Dy 3.39-3.41
Dy2 0.3609 0.0551 0.7218  1 Fe 2.72
Dy3 0.6391 0.9449 0.2782  1 Fe 2.72
Dy4 0.9913 0.2214 0.9827  2 Fe 3.08, 5 Dy 3.13-3.44, 1 Sn 3.21
Dy5 0.4083 0.5857 0.8166  1 Fe 2.61
Dy6 0.0087 0.7786 0.0173  2 Fe 3.08, 5 Dy 3.13-3.44, 1 Sn 3.21
Dy7 0.5917 0.4143 0.1834  1 Fe 2.61
Dy8 0.7936 0.7155 0.5872  3 Sn 3.19-3.45, 3 Dy 3.39-3.41
Fe1 0.5000 0.0000 0.0000  4 Dy 2.61-2.72

Values from the calculation:
M_tot in μB per formula unit: 0.001
Calculated volume in Å³ per cell: 299
Formation energy from the elements in kJ per mole of atoms: -25.0

# 3
## DyTaFe4 (GGA-PBE)

Data for an optimized crystal structure of DyTaFe4.

Lattice parameters (Å, degrees): 4.9556 4.9556 8.1879 90.00 90.00 120.00
Closest atoms and distances in Å follow each position.
Fractional coordinates of all 12 atoms:
Dy1 0.6667 0.3333 0.9325  12 Fe 2.91-3.08, 3 Dy 3.07, 1 Ta 3.09
Dy2 0.3333 0.6667 0.0675  12 Fe 2.91-3.08, 3 Dy 3.07, 1 Ta 3.09
Fe1 0.6641 0.8321 0.7338  6 Fe 2.40-2.61
Fe2 0.8321 0.6641 0.2662  6 Fe 2.40-2.61
Fe3 0.0000 0.0000 0.0000  6 Fe 2.61, 6 Dy 2.91
Fe4 0.1679 0.3359 0.7338  6 Fe 2.40-2.61
Fe5 0.1679 0.8321 0.7338  6 Fe 2.40-2.61
Fe6 0.3359 0.1679 0.2662  6 Fe 2.40-2.61
Fe7 0.0000 0.0000 0.5000  6 Fe 2.40
Fe8 0.8321 0.1679 0.2662  6 Fe 2.40-2.61
Ta1 0.3333 0.6667 0.4448  12 Fe 2.76-2.90, 3 Ta 3.00, 1 Dy 3.09
Ta2 0.6667 0.3333 0.5552  12 Fe 2.76-2.90, 3 Ta 3.00, 1 Dy 3.09

Values from the calculation:
M_tot in μB per formula unit: 6.422
Calculated volume in Å³ per cell: 174
ΔE to the lowest computed polymorph in eV/f.u.: 0.000
Formation energy from the elements in kJ per mole of atoms: -10.1

# 4
## DyTaFe2 (GGA-PBE)

Data for an optimized crystal structure of DyTaFe2.

Lattice parameters (Å, degrees): 3.1146 3.1146 6.6323 90.00 90.00 90.00
Closest atoms and distances in Å follow each position.
Fractional coordinates of all 4 atoms:
Ta1 0.5000 0.5000 0.0000  8 Fe 2.62
Fe1 0.0000 0.0000 0.7874  4 Ta 2.62, 1 Fe 2.82, 4 Dy 2.91
Fe2 0.0000 0.0000 0.2126  4 Ta 2.62, 1 Fe 2.82, 4 Dy 2.91
Dy1 0.5000 0.5000 0.5000  8 Fe 2.91, 4 Dy 3.11

Values from the calculation:
M_tot in μB per formula unit: 0.359
Calculated volume in Å³ per cell: 64
Formation energy from the elements in kJ per mole of atoms: -2.4

# 5
## DyTaFe (GGA-PBE)

Data for an optimized crystal structure of DyTaFe.

Lattice parameters (Å, degrees): 4.3364 4.3364 6.3617 90.00 90.00 90.00
Closest atoms and distances in Å follow each position.
Fractional coordinates of all 6 atoms:
Fe1 0.5000 0.0000 0.6928  4 Ta 2.49
Fe2 0.0000 0.5000 0.3072  4 Ta 2.49
Dy1 0.0000 0.5000 0.8646  1 Fe 2.82
Dy2 0.5000 0.0000 0.1354  1 Fe 2.82
Ta1 0.0000 0.0000 0.5000  4 Fe 2.49
Ta2 0.5000 0.5000 0.5000  4 Fe 2.49

Values from the calculation:
M_tot in μB per formula unit: 0.000
Calculated volume in Å³ per cell: 120
Formation energy from the elements in kJ per mole of atoms: -3.7

# 6
## DyTaFe4 (GGA-PBE)

Data for an optimized crystal structure of DyTaFe4.

Lattice parameters (Å, degrees): 4.9824 4.9824 4.9824 60.00 60.00 60.00
Closest atoms and distances in Å follow each position.
Fractional coordinates of all 6 atoms:
Fe1 0.6243 0.1271 0.6243  6 Fe 2.48-2.51
Fe2 0.6243 0.6243 0.1271  6 Fe 2.48-2.51
Fe3 0.1271 0.6243 0.6243  6 Fe 2.48-2.51
Fe4 0.6243 0.6243 0.6243  6 Fe 2.48-2.51
Dy1 0.0000 0.0000 0.0000  12 Fe 2.92, 4 Ta 3.05
Ta1 0.2500 0.2500 0.2500  12 Fe 2.92, 4 Dy 3.05

Values from the calculation:
M_tot in μB per formula unit: 6.543
Calculated volume in Å³ per cell: 87
ΔE to the lowest computed polymorph in eV/f.u.: 0.219
Formation energy from the elements in kJ per mole of atoms: -6.6

# 7
## DyTaFe10 (GGA-PBE)

Data for an optimized crystal structure of DyTaFe10.

Lattice parameters (Å, degrees): 3.9724 4.8348 8.3625 90.00 90.00 90.00
Closest atoms and distances in Å follow each position.
Fractional coordinates of all 12 atoms:
Fe1 0.5000 0.2538 0.2590  8 Fe 2.36-2.47
Fe2 0.5000 0.5000 0.0000  8 Fe 2.47-2.49
Fe3 0.0000 0.0000 0.6567  7 Fe 2.38-2.62
Fe4 0.0000 0.5000 0.8202  6 Fe 2.41-2.49, 1 Ta 2.68
Fe5 0.5000 0.7462 0.7410  8 Fe 2.36-2.47
Fe6 0.5000 0.0000 0.5000  8 Fe 2.36-2.38
Fe7 0.5000 0.2538 0.7410  8 Fe 2.36-2.47
Fe8 0.5000 0.7462 0.2590  8 Fe 2.36-2.47
Fe9 0.0000 0.0000 0.3433  7 Fe 2.38-2.62
Fe10 0.0000 0.5000 0.1798  6 Fe 2.41-2.49, 1 Ta 2.68
Dy1 0.0000 0.0000 0.0000  18 Fe 2.85-3.18
Ta1 0.0000 0.5000 0.5000  6 Fe 2.68-2.75

Values from the calculation:
M_tot in μB per formula unit: 17.961
Calculated volume in Å³ per cell: 161
Formation energy from the elements in kJ per mole of atoms: 2.2

# 8
## Tb2DyFe9 (GGA-PBE)

Data for an optimized crystal structure of Tb2DyFe9.

Lattice parameters (Å, degrees): 5.0972 5.0972 8.6266 72.82 72.82 60.00
Closest atoms and distances in Å follow each position.
Fractional coordinates of all 12 atoms:
Fe1 0.4194 0.9180 0.2431  7 Fe 2.45-2.56
Fe2 0.5806 0.5806 0.7569  7 Fe 2.45-2.56
Fe3 0.3328 0.3328 0.0015  6 Fe 2.45-2.47
Fe4 0.5000 0.5000 0.5000  6 Fe 2.55
Fe5 0.4194 0.4194 0.2431  7 Fe 2.45-2.56
Fe6 0.6672 0.6672 0.9985  6 Fe 2.45-2.47
Fe7 0.5806 0.0820 0.7569  7 Fe 2.45-2.56
Fe8 0.0820 0.5806 0.7569  7 Fe 2.45-2.56
Fe9 0.9180 0.4194 0.2431  7 Fe 2.45-2.56
Tb1 0.1418 0.1418 0.5745  12 Fe 2.95-3.07, 3 Tb 3.18
Tb2 0.8582 0.8582 0.4255  12 Fe 2.95-3.07, 3 Tb 3.18
Dy1 0.0000 0.0000 0.0000  18 Fe 2.94-3.22

Values from the calculation:
M_tot in μB per formula unit: 17.431
Calculated volume in Å³ per cell: 182
Formation energy from the elements in kJ per mole of atoms: -5.8

# 9
## Tb3DyFe8 (GGA-PBE)

Data for an optimized crystal structure of Tb3DyFe8.

Lattice parameters (Å, degrees): 5.1489 5.1489 8.9057 73.21 73.21 59.93
Closest atoms and distances in Å follow each position.
Fractional coordinates of all 12 atoms:
Tb1 0.0001 0.0001 0.0002  12 Fe 3.02, 1 Dy 3.15, 3 Tb 3.15
Tb2 0.5002 0.5002 0.5000  12 Fe 3.01-3.02, 1 Tb 3.15, 3 Dy 3.15
Tb3 0.3750 0.3750 0.8749  12 Fe 3.02, 4 Tb 3.15
Fe1 0.1876 0.1876 0.4373  6 Fe 2.57
Fe2 0.9375 0.9375 0.6870  6 Fe 2.57-2.58
Fe3 0.9371 0.4374 0.1880  6 Fe 2.57-2.58
Fe4 0.4374 0.9371 0.1880  6 Fe 2.57-2.58
Fe5 0.4374 0.4374 0.1880  6 Fe 2.57-2.58
Fe6 0.9375 0.4379 0.6870  6 Fe 2.57-2.58
Fe7 0.6875 0.6875 0.9376  6 Fe 2.57-2.58
Fe8 0.4379 0.9375 0.6870  6 Fe 2.57-2.58
Dy1 0.8749 0.8749 0.3749  12 Fe 3.01-3.02, 4 Tb 3.15

Values from the calculation:
M_tot in μB per formula unit: 14.027
Calculated volume in Å³ per cell: 193
Formation energy from the elements in kJ per mole of atoms: -6.3

# 10
## Tb2DyFe (GGA-PBE)

Data for an optimized crystal structure of Tb2DyFe.

Lattice parameters (Å, degrees): 6.2632 7.0618 9.2323 90.00 90.00 90.00
Closest atoms and distances in Å follow each position.
Fractional coordinates of all 16 atoms:
Tb1 0.3269 0.1740 0.0676  2 Fe 2.76-2.92
Tb2 0.1731 0.6740 0.0676  2 Fe 2.76-2.92
Tb3 0.8269 0.3260 0.5676  2 Fe 2.76-2.92
Tb4 0.6731 0.8260 0.9324  2 Fe 2.76-2.92
Tb5 0.1731 0.6740 0.4324  2 Fe 2.76-2.92
Tb6 0.3269 0.1740 0.4324  2 Fe 2.76-2.92
Tb7 0.8269 0.3260 0.9324  2 Fe 2.76-2.92
Tb8 0.6731 0.8260 0.5676  2 Fe 2.76-2.92
Dy1 0.8597 0.0498 0.2500  2 Fe 2.64-2.71
Dy2 0.1403 0.9502 0.7500  2 Fe 2.64-2.71
Dy3 0.6403 0.5498 0.2500  2 Fe 2.64-2.71
Dy4 0.3597 0.4502 0.7500  2 Fe 2.64-2.71
Fe1 0.9659 0.6096 0.7500  2 Dy 2.64-2.71, 4 Tb 2.76-2.92
Fe2 0.0341 0.3904 0.2500  2 Dy 2.64-2.71, 4 Tb 2.76-2.92
Fe3 0.4659 0.8904 0.2500  2 Dy 2.64-2.71, 4 Tb 2.76-2.92
Fe4 0.5341 0.1096 0.7500  2 Dy 2.64-2.71, 4 Tb 2.76-2.92

Values from the calculation:
M_tot in μB per formula unit: 0.000
Calculated volume in Å³ per cell: 408
ΔE to the lowest computed polymorph in eV/f.u.: 0.000
Formation energy from the elements in kJ per mole of atoms: 0.1

# 11
## Tb2DyFe (GGA-PBE)

Data for an optimized crystal structure of Tb2DyFe.

Lattice parameters (Å, degrees): 3.3600 3.3600 9.0354 90.00 90.00 90.00
Closest atoms and distances in Å follow each position.
Fractional coordinates of all 4 atoms:
Fe1 0.5000 0.5000 0.0000  8 Tb 2.88
Dy1 0.5000 0.5000 0.5000  4 Dy 3.36, 8 Tb 3.74
Tb1 0.0000 0.0000 0.8204  4 Fe 2.88
Tb2 0.0000 0.0000 0.1796  4 Fe 2.88

Values from the calculation:
M_tot in μB per formula unit: 0.076
Calculated volume in Å³ per cell: 102
ΔE to the lowest computed polymorph in eV/f.u.: 0.463
Formation energy from the elements in kJ per mole of atoms: 11.2

# 12
## Tb2DyFe (GGA-PBE)

Data for an optimized crystal structure of Tb2DyFe.

Lattice parameters (Å, degrees): 3.5539 3.5539 9.9948 79.76 79.76 60.00
Closest atoms and distances in Å follow each position.
Fractional coordinates of all 4 atoms:
Tb1 0.7296 0.7296 0.8112  3 Fe 2.76
Tb2 0.2704 0.2704 0.1888  3 Fe 2.76
Fe1 0.0000 0.0000 0.0000  6 Tb 2.76
Dy1 0.5000 0.5000 0.5000  6 Dy 3.55, 6 Tb 3.67

Values from the calculation:
M_tot in μB per formula unit: 1.469
Calculated volume in Å³ per cell: 107
ΔE to the lowest computed polymorph in eV/f.u.: 0.857
Formation energy from the elements in kJ per mole of atoms: 20.7

Final energy in hartree per atom, matching the order above: -0.216 -0.188 -0.312 -0.308 -0.307 -0.311 -0.309 -0.278 -0.266 -0.205 -0.201 -0.197